# ZrTaIr3, relaxed, DFT PBE
data_ZrTaIr3
_chemical_formula_sum 'Zr1 Ta1 Ir3'
_cell_length_a 4.7463
_cell_length_b 4.7463
_cell_length_c 4.7463
_cell_angle_alpha 90.00
_cell_angle_beta 90.00
_cell_angle_gamma 90.00
_symmetry_space_group_name_H-M 'P m -3 m'
_symmetry_Int_Tables_number 221
_symmetry_space_group_name_Hall '-P 4 2 3'
loop_
_atom_site_label
_atom_site_fract_x
_atom_site_fract_y
_atom_site_fract_z
Zr1 0.0000 0.0000 0.0000
Ta1 0.5000 0.5000 0.5000
Ir1 0.0000 0.5000 0.5000
# calculated density: 13182 kg/m3
# ΔE to the lowest computed polymorph: 0 meV per atom
# DFT formation energy: 859 meV per atom

# ZrTaIr2, relaxed, DFT PBE
data_ZrTaIr2
_chemical_formula_sum 'Zr2 Ta2 Ir4'
_cell_length_a 9.3087
_cell_length_b 2.9620
_cell_length_c 5.0851
_cell_angle_alpha 90.00
_cell_angle_beta 101.70
_cell_angle_gamma 90.00
_symmetry_space_group_name_H-M 'C 1 2/m 1'
_symmetry_Int_Tables_number 12
_symmetry_space_group_name_Hall '-C 2y'
loop_
_atom_site_label
_atom_site_fract_x
_atom_site_fract_y
_atom_site_fract_z
Zr1 0.0000 0.0000 0.0000
Ta1 0.0000 0.5000 0.5000
Ir1 0.2451 0.0000 0.7350
# calculated density: 15883 kg/m3
# DFT formation energy: -243 meV per atom

# ZrTa4Ir, relaxed, DFT PBE
data_ZrTa4Ir
_chemical_formula_sum 'Zr4 Ta16 Ir4'
_cell_length_a 7.6886
_cell_length_b 7.6886
_cell_length_c 7.6886
_cell_angle_alpha 90.00
_cell_angle_beta 90.00
_cell_angle_gamma 90.00
_symmetry_space_group_name_H-M 'F -4 3 m'
_symmetry_Int_Tables_number 216
_symmetry_space_group_name_Hall 'F -4 2 3'
loop_
_atom_site_label
_atom_site_fract_x
_atom_site_fract_y
_atom_site_fract_z
Zr1 0.0000 0.0000 0.0000
Ta1 0.1254 0.1254 0.3746
Ir1 0.2500 0.2500 0.7500
# calculated density: 14719 kg/m3
# DFT formation energy: 126 meV per atom